Below is AlPd3Pt2 after structural relaxation, with properties calculated at the PBE level.

a = 4.8478 Å, b = 4.5873 Å, c = 8.2101 Å
α = 90.00°, β = 90.00°, γ = 90.00°
Atoms (fractional coordinates):
Pt: 0.9040 0.2500 0.4244
Pd: 0.5905 0.7500 0.0868
Al: 0.0864 0.7500 0.2500
Pd: 0.5993 0.7500 0.7500
Pt: 0.9040 0.2500 0.0756
Pd: 0.5905 0.7500 0.4132
Pt: 0.0960 0.7500 0.5756
Pd: 0.4095 0.2500 0.5868
Pt: 0.0960 0.7500 0.9244
Pd: 0.4007 0.2500 0.2500
Pd: 0.4095 0.2500 0.9132
Al: 0.9136 0.2500 0.7500

M_tot   0.000 μB per formula unit
ΔE_f   -0.41 eV/atom


Below is DyYIr2 after structural relaxation, with properties calculated at the PBE level.

a = 3.5889 Å, b = 4.7397 Å, c = 4.7397 Å
α = 90.00°, β = 90.00°, γ = 90.00°
Atoms (fractional coordinates):
Ir: 0.0000 0.5000 0.0000
Ir: 0.0000 0.0000 0.5000
Dy: 0.5000 0.5000 0.5000
Y: 0.5000 0.0000 0.0000

M_tot   0.000 μB per formula unit
ΔE_f   -0.80 eV/atom


Below is Zn2TcPt2 after structural relaxation, with properties calculated at the PBE level.

a = 7.4385 Å, b = 7.4385 Å, c = 2.7666 Å
α = 90.00°, β = 90.00°, γ = 90.00°
Last column: magnetic moment on the atom in μB.
Atoms (fractional coordinates):
Zn: 0.8371 0.3371 0.5000  0.00
Pt: 0.6363 0.1363 0.0000  0.07
Zn: 0.1629 0.6629 0.5000  0.00
Pt: 0.1363 0.3637 0.0000  0.05
Pt: 0.3637 0.8637 0.0000  0.07
Tc: 0.5000 0.5000 0.0000  0.99
Pt: 0.8637 0.6363 0.0000  0.05
Zn: 0.3371 0.1629 0.5000  0.00
Tc: 0.0000 0.0000 0.0000  0.98
Zn: 0.6629 0.8371 0.5000  0.00

M_tot   1.202 μB per formula unit
ΔE_f   -0.04 eV/atom


Q: Look up the M_tot of the first one.
A: 0.000 μB per formula unit